[1]
Material: Tb2HoZn5
Method: DFT, PBE
State: optimized geometry

Geometry as CIF:
```
data_Tb2HoZn5
_chemical_formula_sum 'Tb2 Ho1 Zn5'
_cell_length_a 4.811
_cell_length_b 4.811
_cell_length_c 7.851
_cell_angle_alpha 107.84
_cell_angle_beta 107.84
_cell_angle_gamma 90.00
_space_group_name_H-M_alt 'P 1'
_space_group_IT_number 1
loop_
_space_group_symop_operation_xyz
'x,y,z'
loop_
_atom_site_label
_atom_site_type_symbol
_atom_site_fract_x
_atom_site_fract_y
_atom_site_fract_z
Tb1 Tb 0.733 0.733 0.467
Tb2 Tb 0.267 0.267 0.533
Ho1 Ho 0.000 0.000 0.000
Zn1 Zn 0.500 0.500 0.000
Zn2 Zn 0.887 0.387 0.773
Zn3 Zn 0.387 0.887 0.773
Zn4 Zn 0.113 0.613 0.227
Zn5 Zn 0.613 0.113 0.227
```

Values from the calculation:
Its density of states at the Fermi level is 0.427 states/eV per atom. The value obtained for the raw total energy is -2.8363 eV per atom. The spin magnetization comes out at 0.00 μB per formula unit. The space-group type is I4/mmm.


[2]
Material: Tb2Ho3Zn2
Method: DFT, PBE
State: optimized geometry

Geometry as CIF:
```
data_Tb2Ho3Zn2
_chemical_formula_sum 'Tb2 Ho3 Zn2'
_cell_length_a 3.516
_cell_length_b 3.505
_cell_length_c 15.361
_cell_angle_alpha 90.01
_cell_angle_beta 83.43
_cell_angle_gamma 90.00
_space_group_name_H-M_alt 'P 1'
_space_group_IT_number 1
loop_
_space_group_symop_operation_xyz
'x,y,z'
loop_
_atom_site_label
_atom_site_type_symbol
_atom_site_fract_x
_atom_site_fract_y
_atom_site_fract_z
Tb1 Tb 0.701 0.500 0.599
Tb2 Tb 0.299 0.500 0.401
Ho1 Ho 0.883 0.000 0.235
Ho2 Ho 0.000 0.000 0.000
Ho3 Ho 0.117 0.000 0.765
Zn1 Zn 0.558 0.500 0.884
Zn2 Zn 0.442 0.500 0.116
```

Values from the calculation:
Its density of states at the Fermi level is 1.213 states/eV per atom. The spin magnetization comes out at 0.00 μB per formula unit. The space-group type is Cmmm. The offset from the most stable computed form is 0.00 eV per formula unit.


[3]
Material: Tb12Ho3Zn
Method: DFT, PBE
State: optimized geometry

Geometry as CIF:
```
data_Tb12Ho3Zn
_chemical_formula_sum 'Tb12 Ho3 Zn1'
_cell_length_a 4.950
_cell_length_b 4.950
_cell_length_c 19.973
_cell_angle_alpha 90.00
_cell_angle_beta 90.00
_cell_angle_gamma 90.00
_space_group_name_H-M_alt 'P 1'
_space_group_IT_number 1
loop_
_space_group_symop_operation_xyz
'x,y,z'
loop_
_atom_site_label
_atom_site_type_symbol
_atom_site_fract_x
_atom_site_fract_y
_atom_site_fract_z
Tb1 Tb 0.500 0.500 0.000
Tb2 Tb 0.500 0.500 0.242
Tb3 Tb 0.500 0.500 0.500
Tb4 Tb 0.500 0.500 0.758
Tb5 Tb 0.500 0.000 0.118
Tb6 Tb 0.500 0.000 0.372
Tb7 Tb 0.500 0.000 0.628
Tb8 Tb 0.500 0.000 0.882
Tb9 Tb 0.000 0.500 0.118
Tb10 Tb 0.000 0.500 0.372
Tb11 Tb 0.000 0.500 0.628
Tb12 Tb 0.000 0.500 0.882
Ho1 Ho 0.000 0.000 0.245
Ho2 Ho 0.000 0.000 0.500
Ho3 Ho 0.000 0.000 0.755
Zn1 Zn 0.000 0.000 0.000
```

Values from the calculation:
Its density of states at the Fermi level is 1.395 states/eV per atom. The value obtained for the raw total energy is -4.3945 eV per atom. The spin magnetization comes out at 0.00 μB per formula unit. The space-group type is P4/mmm.


[4]
Material: Tb5HoZn6
Method: DFT, PBE
State: optimized geometry

Geometry as CIF:
```
data_Tb5HoZn6
_chemical_formula_sum 'Tb5 Ho1 Zn6'
_cell_length_a 5.048
_cell_length_b 7.184
_cell_length_c 7.989
_cell_angle_alpha 90.00
_cell_angle_beta 71.51
_cell_angle_gamma 90.00
_space_group_name_H-M_alt 'P 1'
_space_group_IT_number 1
loop_
_space_group_symop_operation_xyz
'x,y,z'
loop_
_atom_site_label
_atom_site_type_symbol
_atom_site_fract_x
_atom_site_fract_y
_atom_site_fract_z
Zn1 Zn 0.834 0.752 0.332
Zn2 Zn 0.834 0.248 0.332
Zn3 Zn 0.500 0.248 0.000
Zn4 Zn 0.500 0.752 0.000
Zn5 Zn 0.166 0.752 0.668
Zn6 Zn 0.166 0.248 0.668
Tb1 Tb 0.667 0.500 0.666
Tb2 Tb 0.334 0.000 0.333
Tb3 Tb 0.000 0.500 0.000
Tb4 Tb 0.666 0.000 0.667
Tb5 Tb 0.333 0.500 0.334
Ho1 Ho 0.000 0.000 0.000
```

Values from the calculation:
Its density of states at the Fermi level is 1.234 states/eV per atom. The value obtained for the raw total energy is -3.2856 eV per atom. The spin magnetization comes out at 0.01 μB per formula unit. The space-group type is P2/m.


[5]
Material: Tb4HoZn
Method: DFT, PBE
State: optimized geometry

Geometry as CIF:
```
data_Tb4HoZn
_chemical_formula_sum 'Tb8 Ho2 Zn2'
_cell_length_a 6.233
_cell_length_b 9.005
_cell_length_c 8.070
_cell_angle_alpha 114.29
_cell_angle_beta 100.04
_cell_angle_gamma 112.31
_space_group_name_H-M_alt 'P 1'
_space_group_IT_number 1
loop_
_space_group_symop_operation_xyz
'x,y,z'
loop_
_atom_site_label
_atom_site_type_symbol
_atom_site_fract_x
_atom_site_fract_y
_atom_site_fract_z
Tb1 Tb 0.040 0.164 0.774
Tb2 Tb 0.763 0.714 0.634
Tb3 Tb 0.234 0.609 0.774
Tb4 Tb 0.371 0.920 0.634
Tb5 Tb 0.629 0.080 0.366
Tb6 Tb 0.766 0.391 0.226
Tb7 Tb 0.237 0.286 0.366
Tb8 Tb 0.960 0.836 0.226
Ho1 Ho 0.345 0.595 0.189
Ho2 Ho 0.655 0.405 0.811
Zn1 Zn 0.250 0.000 0.000
Zn2 Zn 0.750 0.000 0.000
```

Values from the calculation:
Its density of states at the Fermi level is 1.362 states/eV per atom. The spin magnetization comes out at 0.00 μB per formula unit. The space-group type is C2/c. The offset from the most stable computed form is 0.62 eV per formula unit.


[6]
Material: Tb3Ho2Zn2
Method: DFT, PBE
State: optimized geometry

Geometry as CIF:
```
data_Tb3Ho2Zn2
_chemical_formula_sum 'Tb3 Ho2 Zn2'
_cell_length_a 3.673
_cell_length_b 6.690
_cell_length_c 9.023
_cell_angle_alpha 114.68
_cell_angle_beta 90.00
_cell_angle_gamma 105.93
_space_group_name_H-M_alt 'P 1'
_space_group_IT_number 1
loop_
_space_group_symop_operation_xyz
'x,y,z'
loop_
_atom_site_label
_atom_site_type_symbol
_atom_site_fract_x
_atom_site_fract_y
_atom_site_fract_z
Tb1 Tb 0.500 0.000 0.000
Tb2 Tb 0.610 0.221 0.441
Tb3 Tb 0.390 0.779 0.559
Ho1 Ho 0.851 0.702 0.188
Ho2 Ho 0.149 0.298 0.812
Zn1 Zn 0.820 0.641 0.776
Zn2 Zn 0.180 0.359 0.224
```

Values from the calculation:
Its density of states at the Fermi level is 1.207 states/eV per atom. The spin magnetization comes out at 0.00 μB per formula unit. The space-group type is C2/m. The offset from the most stable computed form is 0.00 eV per formula unit.


[7]
Material: TbHo6Zn2
Method: DFT, PBE
State: optimized geometry

Geometry as CIF:
```
data_TbHo6Zn2
_chemical_formula_sum 'Tb1 Ho6 Zn2'
_cell_length_a 3.603
_cell_length_b 6.450
_cell_length_c 11.427
_cell_angle_alpha 76.04
_cell_angle_beta 80.93
_cell_angle_gamma 73.78
_space_group_name_H-M_alt 'P 1'
_space_group_IT_number 1
loop_
_space_group_symop_operation_xyz
'x,y,z'
loop_
_atom_site_label
_atom_site_type_symbol
_atom_site_fract_x
_atom_site_fract_y
_atom_site_fract_z
Tb1 Tb 0.000 0.000 0.000
Ho1 Ho 0.690 0.494 0.125
Ho2 Ho 0.310 0.506 0.875
Ho3 Ho 0.314 0.784 0.588
Ho4 Ho 0.977 0.716 0.330
Ho5 Ho 0.023 0.284 0.670
Ho6 Ho 0.686 0.216 0.412
Zn1 Zn 0.351 0.092 0.206
Zn2 Zn 0.649 0.908 0.794
```

Values from the calculation:
Its density of states at the Fermi level is 1.151 states/eV per atom. The spin magnetization comes out at 0.00 μB per formula unit. The space-group type is C2/m. The offset from the most stable computed form is 0.00 eV per formula unit.


[8]
Material: TbHo3Zn4
Method: DFT, PBE
State: optimized geometry

Geometry as CIF:
```
data_TbHo3Zn4
_chemical_formula_sum 'Tb2 Ho6 Zn8'
_cell_length_a 5.020
_cell_length_b 7.164
_cell_length_c 10.040
_cell_angle_alpha 90.00
_cell_angle_beta 90.00
_cell_angle_gamma 90.00
_space_group_name_H-M_alt 'P 1'
_space_group_IT_number 1
loop_
_space_group_symop_operation_xyz
'x,y,z'
loop_
_atom_site_label
_atom_site_type_symbol
_atom_site_fract_x
_atom_site_fract_y
_atom_site_fract_z
Zn1 Zn 0.500 0.753 0.000
Zn2 Zn 0.500 0.753 0.500
Zn3 Zn 0.500 0.247 0.000
Zn4 Zn 0.500 0.247 0.500
Zn5 Zn 0.000 0.752 0.750
Zn6 Zn 0.000 0.752 0.250
Zn7 Zn 0.000 0.248 0.250
Zn8 Zn 0.000 0.248 0.750
Tb1 Tb 0.000 0.500 0.000
Tb2 Tb 0.000 0.500 0.500
Ho1 Ho 0.000 0.000 0.000
Ho2 Ho 0.000 0.000 0.500
Ho3 Ho 0.500 0.000 0.750
Ho4 Ho 0.500 0.000 0.250
Ho5 Ho 0.500 0.500 0.750
Ho6 Ho 0.500 0.500 0.250
```

Values from the calculation:
Its density of states at the Fermi level is 1.168 states/eV per atom. The value obtained for the raw total energy is -3.2755 eV per atom. The spin magnetization comes out at 0.00 μB per formula unit. The space-group type is P4/mmm.


[9]
Material: Tb8Ho2Zn
Method: DFT, PBE
State: optimized geometry

Geometry as CIF:
```
data_Tb8Ho2Zn
_chemical_formula_sum 'Tb8 Ho2 Zn1'
_cell_length_a 5.504
_cell_length_b 6.409
_cell_length_c 9.859
_cell_angle_alpha 92.92
_cell_angle_beta 106.21
_cell_angle_gamma 90.00
_space_group_name_H-M_alt 'P 1'
_space_group_IT_number 1
loop_
_space_group_symop_operation_xyz
'x,y,z'
loop_
_atom_site_label
_atom_site_type_symbol
_atom_site_fract_x
_atom_site_fract_y
_atom_site_fract_z
Tb1 Tb 0.421 0.395 0.842
Tb2 Tb 0.655 0.118 0.311
Tb3 Tb 0.843 0.190 0.686
Tb4 Tb 0.959 0.748 0.918
Tb5 Tb 0.157 0.810 0.314
Tb6 Tb 0.345 0.882 0.689
Tb7 Tb 0.579 0.605 0.158
Tb8 Tb 0.041 0.252 0.082
Ho1 Ho 0.762 0.668 0.524
Ho2 Ho 0.238 0.332 0.476
Zn1 Zn 0.500 0.000 0.000
```

Values from the calculation:
Its density of states at the Fermi level is 1.262 states/eV per atom. The value obtained for the raw total energy is -4.3372 eV per atom. The spin magnetization comes out at 0.00 μB per formula unit. The space-group type is C2/m.


[10]
Material: Tb3HoZn2
Method: DFT, PBE
State: optimized geometry

Geometry as CIF:
```
data_Tb3HoZn2
_chemical_formula_sum 'Tb3 Ho1 Zn2'
_cell_length_a 3.579
_cell_length_b 3.579
_cell_length_c 12.136
_cell_angle_alpha 90.00
_cell_angle_beta 90.00
_cell_angle_gamma 90.00
_space_group_name_H-M_alt 'P 1'
_space_group_IT_number 1
loop_
_space_group_symop_operation_xyz
'x,y,z'
loop_
_atom_site_label
_atom_site_type_symbol
_atom_site_fract_x
_atom_site_fract_y
_atom_site_fract_z
Tb1 Tb 0.000 0.000 0.000
Tb2 Tb 0.000 0.000 0.708
Tb3 Tb 0.000 0.000 0.292
Ho1 Ho 0.500 0.500 0.500
Zn1 Zn 0.500 0.500 0.854
Zn2 Zn 0.500 0.500 0.146
```

Values from the calculation:
Its density of states at the Fermi level is 1.018 states/eV per atom. The spin magnetization comes out at 0.00 μB per formula unit. The space-group type is P4/mmm. The offset from the most stable computed form is 0.04 eV per formula unit.


- Look up the spin magnetization of the fourth one.
  0.01 μB per formula unit


- Which value of spin magnetization does entry 10 give?
  0.00 μB per formula unit